## KCu3W (GGA-PBE)

Data for KCu3W after structural relaxation.

abc: 4.881 4.881 4.881
angles: 90.00 90.00 90.00
Positions (direct):
K (0.500, 0.500, 0.500)
Cu (0.000, 0.500, 0.000)
Cu (0.000, 0.000, 0.500)
Cu (0.500, 0.000, 0.000)
W (0.000, 0.000, 0.000)

**Energy above the lowest structure with this stoichiometry**: 0.0 meV/atom
**Volume**: 116 Å³/f.u.
**DOS at the Fermi energy**: 4.389 states/eV/f.u.